Be2Ni2P | PBE | relaxed

Space group ... P4/mbm, No. 127
Energy of formation ... -204 meV per atom
E ... -50.886 eV for the cell shown
Magnetic moment ... 0.0 Bohr magnetons per cell
Relative energy among the computed polymorphs ... 0.000 eV per atom

The structure in POSCAR format:
```
Be2Ni2P
1.0
5.8860 0.0000 0.0000
0.0000 5.8860 0.0000
0.0000 0.0000 2.9577
P Ni Be
2 4 4
Direct
0.0000 0.0000 0.0000 P
0.5000 0.5000 0.0000 P
0.8431 0.6569 0.0000 Ni
0.6569 0.1569 0.0000 Ni
0.3431 0.8431 0.0000 Ni
0.1569 0.3431 0.0000 Ni
0.1377 0.6377 0.5000 Be
0.3623 0.1377 0.5000 Be
0.6377 0.8623 0.5000 Be
0.8623 0.3623 0.5000 Be
```